[1]
Here is a relaxed CaMg2Cu9 crystal from the Alexandria database. Energies are from PBEsol.

abc: 4.9512 4.9512 8.4153
angles: 72.89 72.89 60.00
Atoms (fractional coordinates):
Cu1 0.5000 0.5000 0.5000
Cu2 0.3333 0.3333 0.0002
Cu3 0.0818 0.5863 0.7457
Mg1 0.1445 0.1445 0.5665
Cu4 0.4137 0.4137 0.2543
Mg2 0.8555 0.8555 0.4335
Cu5 0.5863 0.0818 0.7457
Cu6 0.9182 0.4137 0.2543
Cu7 0.5863 0.5863 0.7457
Ca1 0.0000 0.0000 0.0000
Cu8 0.4137 0.9182 0.2543
Cu9 0.6667 0.6667 0.9998

Values from the calculation:
Energy of formation ... -0.1209 eV/atom

---

[2]
Here is a relaxed CaMgCu crystal from the Alexandria database. Energies are from PBEsol.

abc: 3.4022 3.4022 6.0794
angles: 106.25 106.25 90.00
Atoms (fractional coordinates):
Ca1 0.9821 0.9821 0.9643
Mg1 0.7017 0.7017 0.4033
Cu1 0.3162 0.3162 0.6324

Values from the calculation:
Energy of formation ... -0.0245 eV/atom

---

[3]
Here is a relaxed Ca2MgCu crystal from the Alexandria database. Energies are from PBEsol.

abc: 3.5235 5.3167 6.3543
angles: 114.73 106.10 90.00
Atoms (fractional coordinates):
Ca1 0.2038 0.7038 0.4075
Mg1 0.8043 0.3043 0.6087
Ca2 0.0067 0.0067 0.0133
Cu1 0.4852 0.4852 0.9705

Values from the calculation:
Energy of formation ... -0.0017 eV/atom

---

[4]
Here is a relaxed Ca2MgCu crystal from the Alexandria database. Energies are from PBEsol.

abc: 4.3126 4.3652 6.1461
angles: 90.00 110.54 90.00
Atoms (fractional coordinates):
Cu1 0.8215 0.0000 0.6429
Mg1 0.6921 0.5000 0.3842
Ca1 0.3968 0.5000 0.7937
Ca2 0.0992 0.0000 0.1985

Values from the calculation:
Energy of formation ... 0.0034 eV/atom

---

[5]
Here is a relaxed CaMgCu crystal from the Alexandria database. Energies are from PBEsol.

abc: 4.2164 4.2164 8.0910
angles: 105.10 105.10 90.00
Atoms (fractional coordinates):
Mg1 0.5000 0.0000 0.0000
Ca1 0.3234 0.3234 0.6468
Ca2 0.6766 0.6766 0.3532
Mg2 0.0000 0.5000 0.0000
Cu1 0.1162 0.1162 0.2325
Cu2 0.8838 0.8838 0.7675

Values from the calculation:
Energy of formation ... -0.0683 eV/atom

---

[6]
Here is a relaxed Ca3Mg7Cu2 crystal from the Alexandria database. Energies are from PBEsol.

abc: 6.0660 6.0660 9.7219
angles: 71.82 71.82 60.00
Atoms (fractional coordinates):
Mg1 0.5738 0.0716 0.7807
Mg2 0.5000 0.5000 0.5000
Cu1 0.3334 0.3334 0.9999
Mg3 0.4262 0.4262 0.2193
Mg4 0.9284 0.4262 0.2193
Ca1 0.8555 0.8555 0.4334
Ca2 0.1445 0.1445 0.5666
Cu2 0.6666 0.6666 0.0001
Ca3 0.0000 0.0000 0.0000
Mg5 0.0716 0.5738 0.7807
Mg6 0.4262 0.9284 0.2193
Mg7 0.5738 0.5738 0.7807

Values from the calculation:
Energy of formation ... -0.0688 eV/atom

---

[7]
Here is a relaxed CaMg2Cu crystal from the Alexandria database. Energies are from PBEsol.

abc: 4.9407 4.9407 4.9407
angles: 60.00 60.00 60.00
Atoms (fractional coordinates):
Mg1 0.7500 0.7500 0.7500
Ca1 0.5000 0.5000 0.5000
Cu1 0.2500 0.2500 0.2500
Mg2 0.0000 0.0000 0.0000

Values from the calculation:
Energy of formation ... 0.0367 eV/atom

---

[8]
Here is a relaxed CaMg14CuO16 crystal from the Alexandria database. Energies are from PBEsol.

abc: 4.2771 8.4427 8.5786
angles: 90.00 90.00 90.00
Atoms (fractional coordinates):
O1 0.0000 0.5000 0.2608
O2 0.0000 0.7494 0.5000
Ca1 0.0000 0.0000 0.0000
Mg1 0.5000 0.5000 0.7496
Mg2 0.0000 0.0000 0.5000
Mg3 0.0000 0.2548 0.2542
O3 0.0000 0.5000 0.7392
O4 0.5000 0.5000 0.5000
Mg4 0.5000 0.2573 0.0000
O5 0.0000 0.0000 0.2621
Mg5 0.0000 0.7452 0.2542
O6 0.5000 0.2501 0.2489
Mg6 0.5000 0.0000 0.7443
Mg7 0.5000 0.7490 0.5000
Mg8 0.0000 0.2548 0.7458
O7 0.0000 0.7336 0.0000
O8 0.0000 0.0000 0.7379
O9 0.5000 0.5000 0.0000
O10 0.5000 0.2501 0.7511
Mg9 0.5000 0.2510 0.5000
O11 0.5000 0.7499 0.2489
O12 0.0000 0.2664 0.0000
Mg10 0.5000 0.7427 0.0000
O13 0.5000 0.0000 0.5000
Cu1 0.0000 0.5000 0.0000
Mg11 0.5000 0.5000 0.2504
Mg12 0.0000 0.7452 0.7458
Mg13 0.0000 0.5000 0.5000
O14 0.5000 0.7499 0.7511
O15 0.5000 0.0000 0.0000
O16 0.0000 0.2506 0.5000
Mg14 0.5000 0.0000 0.2557

Values from the calculation:
Uncorrected formation energy ... -2.584 eV per atom
Offset from the most stable computed form ... 0.000 eV per atom

---

[9]
Here is a relaxed CaMg14CuO16 crystal from the Alexandria database. Energies are from PBEsol.

abc: 4.2772 8.5106 8.5106
angles: 90.00 90.00 90.00
Atoms (fractional coordinates):
O1 0.0000 0.0000 0.2633
O2 0.5000 0.5000 0.5000
Mg1 0.5000 0.2522 0.5000
Mg2 0.5000 0.2557 0.0000
Mg3 0.0000 0.0000 0.5000
O3 0.0000 0.7495 0.5000
O4 0.5000 0.2505 0.7495
Mg4 0.0000 0.2540 0.2540
O5 0.5000 0.7495 0.2505
Mg5 0.0000 0.7460 0.2540
Mg6 0.5000 0.5000 0.2522
O6 0.0000 0.2633 0.0000
Mg7 0.5000 0.7478 0.5000
Mg8 0.5000 0.0000 0.7443
Mg9 0.5000 0.7443 0.0000
Mg10 0.5000 0.0000 0.2557
O7 0.5000 0.0000 0.0000
O8 0.0000 0.5000 0.2505
O9 0.0000 0.0000 0.7367
Ca1 0.0000 0.0000 0.0000
O10 0.0000 0.5000 0.7495
Mg11 0.5000 0.5000 0.7478
Cu1 0.0000 0.5000 0.5000
Mg12 0.0000 0.2540 0.7460
O11 0.5000 0.5000 0.0000
O12 0.5000 0.0000 0.5000
Mg13 0.0000 0.5000 0.0000
O13 0.0000 0.2505 0.5000
O14 0.5000 0.7495 0.7495
O15 0.0000 0.7367 0.0000
O16 0.5000 0.2505 0.2505
Mg14 0.0000 0.7460 0.7460

Values from the calculation:
Uncorrected formation energy ... -2.580 eV per atom
Offset from the most stable computed form ... 0.003 eV per atom

---

[10]
Here is a relaxed CaMnCu2 crystal from the Alexandria database. Energies are from PBEsol.

abc: 3.1866 3.1866 6.6084
angles: 90.00 90.00 90.00
Atoms (fractional coordinates):
Mn1 0.0000 0.0000 0.4269
Ca1 0.5000 0.5000 0.7718
Cu1 0.5000 0.5000 0.2421
Cu2 0.0000 0.0000 0.0592

Values from the calculation:
Energy of formation ... 0.3102 eV/atom

---

[11]
Here is a relaxed CaMnCu2 crystal from the Alexandria database. Energies are from PBEsol.

abc: 4.4710 4.5217 4.5217
angles: 60.58 60.37 60.37
Atoms (fractional coordinates):
Ca1 0.5000 0.0000 0.0000
Mn1 0.0000 0.5000 0.5000
Cu1 0.2580 0.7420 0.7420
Cu2 0.7420 0.2580 0.2580

Values from the calculation:
Energy of formation ... 0.3121 eV/atom

---

[12]
Here is a relaxed Ca3MnCu crystal from the Alexandria database. Energies are from PBEsol.

abc: 5.2718 5.2718 5.2718
angles: 90.00 90.00 90.00
Atoms (fractional coordinates):
Mn1 0.0000 0.0000 0.0000
Ca1 0.0000 0.0000 0.5000
Cu1 0.5000 0.5000 0.5000
Ca2 0.0000 0.5000 0.0000
Ca3 0.5000 0.0000 0.0000

Values from the calculation:
Energy of formation ... 0.7830 eV/atom

---

[13]
Here is a relaxed CaMn2Cu3Ru2O12 crystal from the Alexandria database. Energies are from PBEsol.

abc: 6.2776 6.2776 6.2844
angles: 109.40 109.50 109.47
Atoms (fractional coordinates):
O1 0.4811 0.1814 0.3111
Mn1 0.5000 0.5000 0.5000
Ru1 0.5000 0.0000 0.0000
O2 0.8703 0.1700 0.6889
Cu1 0.5000 0.5000 0.0000
O3 0.8221 0.3074 0.1295
O4 0.2978 0.1287 0.8172
O5 0.6885 0.5195 0.8172
O6 0.1297 0.8300 0.3111
O7 0.5189 0.8186 0.6889
Mn2 0.0000 0.0000 0.5000
Ca1 0.0000 0.0000 0.0000
O8 0.7022 0.8713 0.1828
Ru2 0.0000 0.5000 0.0000
O9 0.8243 0.6947 0.5191
O10 0.1779 0.6926 0.8705
Cu2 0.5000 0.0000 0.5000
Cu3 0.0000 0.5000 0.5000
O11 0.1757 0.3053 0.4809
O12 0.3115 0.4805 0.1828

Values from the calculation:
Uncorrected formation energy ... -1.324 eV per atom

---

[14]
Here is a relaxed CaMn2V4CuO12 crystal from the Alexandria database. Energies are from PBEsol.

abc: 6.3253 6.3253 6.3253
angles: 70.83 69.91 109.16
Atoms (fractional coordinates):
O1 0.3114 0.9998 0.3116
O2 0.4504 0.2660 0.8156
Cu1 0.5000 0.0000 0.5000
O3 0.5496 0.7340 0.1844
O4 0.0816 0.2660 0.1844
V1 0.5000 0.0000 0.0000
O5 0.9184 0.7340 0.8156
O6 0.6886 0.3770 0.3116
O7 0.1846 0.2659 0.5495
V2 0.0000 0.0000 0.5000
Mn1 0.0000 0.5000 0.5000
O8 0.8154 0.2659 0.9187
Ca1 0.0000 0.0000 0.0000
O9 0.8154 0.7341 0.4505
V3 0.0000 0.5000 0.0000
O10 0.1846 0.7341 0.0813
V4 0.5000 0.5000 0.5000
O11 0.6886 0.0002 0.6884
O12 0.3114 0.6230 0.6884
Mn2 0.5000 0.5000 0.0000

Values from the calculation:
Uncorrected formation energy ... -2.069 eV per atom

---

[15]
Here is a relaxed CaZrMnCu2 crystal from the Alexandria database. Energies are from PBEsol.

abc: 4.5915 4.5533 4.5533
angles: 90.00 90.00 90.00
Atoms (fractional coordinates):
Ca1 0.5000 0.0000 0.0000
Cu1 0.0000 0.0000 0.5000
Zr1 0.5000 0.5000 0.5000
Cu2 0.0000 0.5000 0.0000
Mn1 0.0000 0.0000 0.0000

Values from the calculation:
Energy of formation ... 0.9862 eV/atom

---

[16]
Here is a relaxed Ca2CuMo crystal from the Alexandria database. Energies are from PBEsol.

abc: 3.0638 5.1157 6.2094
angles: 114.33 104.28 90.00
Atoms (fractional coordinates):
Ca1 0.7821 0.2821 0.5642
Cu1 0.5241 0.5241 0.0483
Mo1 0.2063 0.7063 0.4126
Ca2 0.9875 0.9875 0.9749

Values from the calculation:
Energy of formation ... 0.5739 eV/atom

---

[17]
Here is a relaxed Ca3CuMo crystal from the Alexandria database. Energies are from PBEsol.

abc: 5.2874 5.2874 5.2874
angles: 90.00 90.00 90.00
Atoms (fractional coordinates):
Ca1 0.5000 0.0000 0.0000
Ca2 0.0000 0.5000 0.0000
Cu1 0.5000 0.5000 0.5000
Mo1 0.0000 0.0000 0.0000
Ca3 0.0000 0.0000 0.5000

Values from the calculation:
Energy of formation ... 1.0919 eV/atom

---

[18]
Here is a relaxed CaCu2Mo crystal from the Alexandria database. Energies are from PBEsol.

abc: 2.7051 4.4873 5.9391
angles: 96.34 90.00 107.54
Atoms (fractional coordinates):
Ca1 0.5000 0.0000 0.0000
Cu1 0.7431 0.4862 0.6782
Cu2 0.2569 0.5138 0.3218
Mo1 0.0000 0.0000 0.5000

Values from the calculation:
Energy of formation ... 0.5106 eV/atom
Offset from the most stable computed form ... 0.073 eV per atom

---

[19]
Here is a relaxed CaCu2Mo crystal from the Alexandria database. Energies are from PBEsol.

abc: 2.6397 4.8737 5.1977
angles: 106.17 104.71 90.00
Atoms (fractional coordinates):
Cu1 0.7268 0.2967 0.4535
Ca1 0.2675 0.8104 0.5351
Cu2 0.0291 0.9670 0.0582
Mo1 0.4766 0.4258 0.9531

Values from the calculation:
Energy of formation ... 0.4378 eV/atom
Offset from the most stable computed form ... 0.000 eV per atom

---

[20]
Here is a relaxed CaCu3Mo4O12 crystal from the Alexandria database. Energies are from PBEsol.

abc: 6.4744 6.4744 6.4744
angles: 109.47 109.47 109.47
Atoms (fractional coordinates):
O1 0.8172 0.7007 0.5179
Cu1 0.0000 0.5000 0.5000
O2 0.2993 0.4821 0.1828
O3 0.7007 0.5179 0.8172
Mo1 0.5000 0.5000 0.5000
Mo2 0.0000 0.0000 0.5000
Cu2 0.5000 0.5000 0.0000
O4 0.5179 0.8172 0.7007
O5 0.1828 0.7007 0.8835
Cu3 0.5000 0.0000 0.5000
O6 0.8835 0.1828 0.7007
O7 0.8172 0.2993 0.1165
Mo3 0.5000 0.0000 0.0000
O8 0.2993 0.1165 0.8172
Mo4 0.0000 0.5000 0.0000
O9 0.1165 0.8172 0.2993
O10 0.1828 0.2993 0.4821
Ca1 0.0000 0.0000 0.0000
O11 0.7007 0.8835 0.1828
O12 0.4821 0.1828 0.2993

Values from the calculation:
Uncorrected formation energy ... -1.697 eV per atom

---

[21]
Here is a relaxed CaCu3N crystal from the Alexandria database. Energies are from PBEsol.

abc: 5.1538 5.1538 5.1538
angles: 90.00 90.00 90.00
Atoms (fractional coordinates):
N1 0.5000 0.5000 0.5000
Cu1 0.0000 0.5000 0.0000
Ca1 0.0000 0.0000 0.0000
Cu2 0.5000 0.0000 0.0000
Cu3 0.0000 0.0000 0.5000

Values from the calculation:
Uncorrected formation energy ... 2.445 eV per atom

---

[22]
Here is a relaxed CaCuN2 crystal from the Alexandria database. Energies are from PBEsol.

abc: 3.8270 3.8270 5.6780
angles: 70.31 70.31 60.00
Atoms (fractional coordinates):
N1 0.1085 0.1085 0.6746
N2 0.8915 0.8915 0.3254
Cu1 0.0000 0.0000 0.0000
Ca1 0.5000 0.5000 0.5000

Values from the calculation:
Uncorrected formation energy ... 0.518 eV per atom

---

[23]
Here is a relaxed CaZr2CuN crystal from the Alexandria database. Energies are from PBEsol.

abc: 4.4022 4.4022 4.6605
angles: 90.00 90.00 90.00
Atoms (fractional coordinates):
N1 0.0000 0.0000 0.0000
Ca1 0.5000 0.5000 0.5000
Zr1 0.5000 0.0000 0.0000
Zr2 0.0000 0.5000 0.0000
Cu1 0.0000 0.0000 0.5000

Values from the calculation:
Uncorrected formation energy ... -0.186 eV per atom

---

Record order is preserved below.
Spin magnetization: 0.00, 0.00, 0.00, 0.00, 0.00, 0.00, 0.00, 0.59, 0.99, 4.03, 3.93, 2.06, 4.79, 9.81, 3.75, 0.00, 0.00, 0.00, 0.00, 0.00, 2.68, 0.78, 0.00 μB/f.u.
Record order is preserved below.
Density of states at the Fermi level: 3.8, 1.8, 3.4, 2.8, 1.8, 7.3, 2.5, 3.2, 4.1, 2.0, 2.5, 4.6, 8.8, 6.6, 5.0, 4.0, 3.0, 3.3, 4.0, 6.8, 4.6, 2.8, 5.0 states/eV/f.u.
Record order is preserved below.
E_tot: -3.84, -2.75, -2.58, -2.58, -2.80, -2.33, -2.44, -6.16, -6.16, -4.83, -4.83, -3.32, -7.22, -8.45, -4.94, -4.52, -3.41, -5.13, -5.20, -7.96, -2.29, -5.36, -6.82 eV per atom